# 1
Pm2Ag3: optimized geometry, PBE.

abc: 3.5996 28.5047 4.8288
angles: 90.00 90.00 90.00
Space group Cmcm (No. 63)
Symmetry-distinct sites (fractional):
Pm 0.0000 0.0733 0.2500 (multiplicity 4)
Pm 0.0000 0.2088 0.7500 (multiplicity 4)
Ag 0.0000 0.3263 0.7500 (multiplicity 4)
Ag 0.0000 0.3808 0.2500 (multiplicity 4)
Ag 0.0000 0.4770 0.2500 (multiplicity 4)

Values from the calculation:
The calculation puts the formation energy at -0.246 eV per atom. The calculation puts the energy at -3.86 eV/atom.

---

# 2
Cd3Hg5Pd12: optimized geometry, PBE.

abc: 15.6586 15.6586 15.6586
angles: 90.00 90.00 90.00
Space group Ia-3d (No. 230)
Symmetry-distinct sites (fractional):
Cd 0.0000 0.2500 0.1250 (multiplicity 24)
Hg 0.0000 0.0000 0.0000 (multiplicity 16)
Hg 0.0000 0.2500 0.3750 (multiplicity 24)
Pd 0.9997 0.0742 0.1531 (multiplicity 96)

Values from the calculation:
The calculation puts the formation energy at 0.218 eV per atom. The calculation puts the energy at -3.11 eV/atom.

---

# 3
Li3NbAs: optimized geometry, PBE.

abc: 4.6611 4.6611 4.6611
angles: 90.00 90.00 90.00
Space group Pm-3m (No. 221)
Symmetry-distinct sites (fractional):
Li 0.0000 0.0000 0.5000 (multiplicity 3)
Nb 0.5000 0.5000 0.5000 (multiplicity 1)
As 0.0000 0.0000 0.0000 (multiplicity 1)

Values from the calculation:
The calculation puts the formation energy at 0.518 eV per atom. The value obtained for the polymorph energy (0 for the lowest one) is 0 meV per atom. The calculation puts the energy at -3.57 eV/atom.

---

# 4
Al2CrCd: optimized geometry, PBE.

abc: 5.7452 7.8137 2.9736
angles: 90.00 90.26 90.00
Space group C2/m (No. 12)
Symmetry-distinct sites (fractional):
Al 0.2500 0.2500 0.0000 (multiplicity 4)
Cr 0.0000 0.0000 0.5000 (multiplicity 2)
Cd 0.0000 0.5000 0.5000 (multiplicity 2)

Values from the calculation:
The calculation puts the formation energy at 0.168 eV per atom. The calculation puts the energy at -4.34 eV/atom.

---

# 5
MgTl2In: optimized geometry, PBE.

abc: 6.6834 10.5884 3.4205
angles: 90.00 113.99 90.00
Space group C2/m (No. 12)
Symmetry-distinct sites (fractional):
Mg 0.0000 0.0000 0.0000 (multiplicity 2)
Tl 0.2500 0.2500 0.5000 (multiplicity 4)
In 0.0000 0.5000 0.0000 (multiplicity 2)

Values from the calculation:
The calculation puts the formation energy at 0.034 eV per atom. The calculation puts the energy at -2.23 eV/atom.

---

# 6
TlPOsPb2: optimized geometry, PBE.

abc: 5.7609 5.7609 5.0725
angles: 90.00 90.00 90.00
Space group P4/mmm (No. 123)
Symmetry-distinct sites (fractional):
Tl 0.0000 0.0000 0.0000 (multiplicity 1)
P 0.5000 0.5000 0.5000 (multiplicity 1)
Os 0.0000 0.0000 0.5000 (multiplicity 1)
Pb 0.0000 0.5000 0.0000 (multiplicity 2)

Values from the calculation:
The calculation puts the formation energy at 1.843 eV per atom. The calculation puts the energy at -3.44 eV/atom.

---

# 7
Y2TmRh: optimized geometry, PBE.

abc: 7.1479 9.4517 6.3276
angles: 90.00 90.00 90.00
Space group Pnma (No. 62)
Symmetry-distinct sites (fractional):
Y 0.1792 0.0633 0.1750 (multiplicity 8)
Tm 0.0374 0.2500 0.6379 (multiplicity 4)
Rh 0.1158 0.7500 0.9579 (multiplicity 4)

Values from the calculation:
The calculation puts the formation energy at -0.528 eV per atom. The value obtained for the polymorph energy (0 for the lowest one) is 0 meV per atom. The calculation puts the energy at -6.72 eV/atom.

---

# 8
GaSnHg2: optimized geometry, PBE.

abc: 3.2010 3.2010 34.5550
angles: 90.00 90.00 120.00
Space group R-3m (No. 166, hexagonal axes)
Symmetry-distinct sites (fractional):
Ga 0.0000 0.0000 0.0000 (multiplicity 3)
Sn 0.0000 0.0000 0.5000 (multiplicity 3)
Hg 0.0000 0.0000 0.0815 (multiplicity 6)

Values from the calculation:
The calculation puts the formation energy at 0.112 eV per atom. The value obtained for the polymorph energy (0 for the lowest one) is 48 meV per atom. The calculation puts the energy at -1.80 eV/atom.

---

- The lowest energy belongs to which entry?
  Y2TmRh

---

- energy of number 4 (Al2CrCd)?
  -4.34 eV/atom

---

- What is the energy in the eighth record?
  -1.80 eV/atom

---

- What is the energy in the seventh record?
  -6.72 eV/atom